DFT (PBE-GGA) results for a geometry-optimized EuErCdSn structure.

## Properties
crystal system	cubic
energy of formation from the pure elements	-0.49	eV/atom
Fermi-level density of states	11.7	states/eV/cell
final energy	-5.425	eV/atom

Unit cell a=7.6203 b=7.6203 c=7.6203 alpha=90.00 beta=90.00 gamma=90.00
Closest atoms and distances in Å follow each position.
Space group F-43m (No. 216)
Unique sites:
Eu: 0.0000 0.0000 0.0000 [4 per cell]  4 Cd 3.30, 4 Sn 3.30
Er: 0.0000 0.0000 0.5000 [4 per cell]  4 Cd 3.30, 4 Sn 3.30
Cd: 0.2500 0.2500 0.7500 [4 per cell]  4 Er 3.30, 4 Eu 3.30
Sn: 0.2500 0.2500 0.2500 [4 per cell]  4 Er 3.30, 4 Eu 3.30